6
Lattice="-2.389 0.503 -3.523 -3.693 -2.604 0.274 -1.332 6.046 2.679" Properties=species:S:1:pos:R:3 comment="HoZnCu PBE-GGA optimized geometry" dft_energy_ev_per_atom=-3.50 ef_ev_per_atom=-0.186 volume_a3_per_atom=19.385 magmom_total_mub_per_fu=0.0 spacegroup=P1 pbc="T T T"
Cu -5.439 -1.144 -2.480
Cu -4.420 5.436 -0.411
Zn -5.764 1.168 -0.758
Zn -1.720 2.619 1.386
Ho -4.591 3.163 1.067
Ho -2.891 0.623 -0.440

***

11
Lattice="3.942 0.000 0.000 0.000 6.925 0.000 0.000 -3.463 5.997" Properties=species:S:1:pos:R:3 comment="HoZn4Cu6 PBE-GGA optimized geometry" dft_energy_ev_per_atom=-3.20 ef_ev_per_atom=-0.091 volume_a3_per_atom=14.885 magmom_total_mub_per_fu=0.0 spacegroup=P-6m2 pbc="T T T"
Cu 1.971 0.000 2.474
Cu 1.971 -1.321 4.761
Cu 1.971 1.321 4.761
Cu 0.000 2.114 2.778
Cu 0.000 3.463 0.442
Cu 0.000 4.811 2.778
Ho 0.000 0.000 0.000
Zn 1.971 4.854 1.196
Zn 0.000 0.000 3.998
Zn 1.971 3.463 3.605
Zn 1.971 2.072 1.196

***

9
Lattice="3.862 0.000 0.000 1.931 6.718 1.265 1.931 2.566 6.336" Properties=species:S:1:pos:R:3 comment="HoZn6Cu2 PBE-GGA optimized geometry" dft_energy_ev_per_atom=-2.32 ef_ev_per_atom=-0.056 volume_a3_per_atom=16.873 magmom_total_mub_per_fu=0.0 spacegroup=Immm pbc="T T T"
Cu 1.931 3.550 2.906
Cu 5.794 5.734 4.694
Zn 3.862 3.903 4.703
Zn 3.862 5.158 6.785
Zn 3.862 1.614 3.883
Zn 3.862 7.669 3.718
Zn 3.862 4.125 0.816
Zn 3.862 5.380 2.898
Ho 0.000 0.000 0.000

***

12
Lattice="-2.384 2.638 -3.503 3.700 -3.355 -5.046 -6.492 -3.963 -2.126" Properties=species:S:1:pos:R:3 comment="Ho6Zn5Cu PBE-GGA optimized geometry" dft_energy_ev_per_atom=-3.49 ef_ev_per_atom=-0.325 volume_a3_per_atom=22.128 magmom_total_mub_per_fu=0.0 spacegroup=Cmmm pbc="T T T"
Cu 0.000 0.000 0.000
Zn -1.126 -2.136 -4.400
Zn -4.051 -2.543 -6.274
Zn -5.879 -0.844 -3.750
Zn -2.997 -0.481 -1.878
Zn 1.850 -1.677 -2.523
Ho -1.966 -4.745 -5.795
Ho -3.828 -3.057 -3.257
Ho -3.210 0.065 -4.879
Ho -1.348 -1.623 -7.418
Ho 1.597 -1.209 -5.554
Ho -0.281 0.493 -2.994

***

13
Lattice="-0.973 4.300 2.736 -1.000 -1.283 6.549 5.623 2.851 2.439" Properties=species:S:1:pos:R:3 comment="HoZn11Cu PBE-GGA optimized geometry" dft_energy_ev_per_atom=-1.93 ef_ev_per_atom=-0.181 volume_a3_per_atom=15.536 magmom_total_mub_per_fu=0.0 spacegroup=C2/m pbc="T T T"
Zn -0.056 1.749 7.001
Zn 2.325 3.575 2.587
Zn 0.710 1.569 2.745
Zn 3.706 4.119 4.723
Zn 2.663 2.584 6.799
Zn 2.939 4.299 8.979
Zn 1.306 0.222 5.107
Zn 0.986 3.284 4.925
Zn 2.343 5.646 6.617
Zn 2.811 1.426 1.219
Zn -0.500 -0.641 3.275
Cu -0.987 1.508 4.643
Ho 0.000 0.000 0.000

***

6
Lattice="-1.341 -2.349 2.246 -1.859 -1.438 -2.614 8.006 -6.562 -2.084" Properties=species:S:1:pos:R:3 comment="Ho3Zn2Cu PBE-GGA optimized geometry" dft_energy_ev_per_atom=-3.71 ef_ev_per_atom=-0.318 volume_a3_per_atom=21.753 magmom_total_mub_per_fu=0.0 spacegroup=P4/mmm pbc="T T T"
Cu 2.403 -5.175 -1.226
Ho 2.711 -2.222 -0.706
Ho 5.294 -4.340 -1.378
Ho 0.000 0.000 0.000
Zn 5.072 -7.363 -1.921
Zn -0.267 -2.986 -0.531

***

10
Lattice="-0.184 2.515 2.376 0.900 -2.262 2.465 16.787 3.759 -2.681" Properties=species:S:1:pos:R:3 comment="Ho5ZnCu4 PBE-GGA optimized geometry" dft_energy_ev_per_atom=-4.34 ef_ev_per_atom=-0.284 volume_a3_per_atom=20.898 magmom_total_mub_per_fu=0.0 spacegroup=P4/mmm pbc="T T T"
Cu 3.378 0.756 -0.539
Cu 6.734 1.508 -1.076
Cu 10.054 2.251 -1.606
Cu 13.410 3.002 -2.142
Ho 8.752 2.006 1.079
Ho 12.082 2.751 0.548
Ho 2.104 0.517 2.141
Ho 5.422 1.260 1.611
Ho 15.400 3.494 0.018
Zn 0.000 0.000 0.000

***

12
Lattice="-3.314 1.887 1.174 -1.333 -5.005 4.280 5.643 2.660 4.868" Properties=species:S:1:pos:R:3 comment="HoZn4Cu PBE-GGA optimized geometry" de_polymorph_mev_per_atom=0 dft_energy_ev_per_atom=-2.53 ef_ev_per_atom=-0.234 volume_a3_per_atom=17.109 magmom_total_mub_per_fu=0.0 spacegroup=Cmcm pbc="T T T"
Zn -0.422 -3.231 4.001
Zn 1.986 0.118 5.413
Zn -1.500 -2.492 6.549
Zn -1.657 0.943 0.587
Zn -0.990 -0.576 4.910
Zn 2.496 2.035 3.774
Zn -2.323 -1.559 2.727
Zn 1.418 2.774 6.322
Cu 0.125 1.605 4.553
Cu 0.870 -2.063 5.770
Ho 0.350 -0.092 7.912
Ho 0.646 -0.366 2.411

***

6
Lattice="-0.528 0.180 -3.765 0.126 -3.844 -0.201 -7.552 1.521 3.056" Properties=species:S:1:pos:R:3 comment="Ho2ZnCu3 PBE-GGA optimized geometry" de_polymorph_mev_per_atom=36 dft_energy_ev_per_atom=-4.03 ef_ev_per_atom=-0.247 volume_a3_per_atom=19.135 magmom_total_mub_per_fu=0.0 spacegroup=Imm2 pbc="T T T"
Ho -2.003 -0.080 0.277
Ho -5.926 -0.137 -1.098
Zn -7.018 -2.206 0.880
Cu -4.533 -2.106 0.536
Cu -0.953 -1.862 -1.879
Cu -3.364 -1.959 -1.545

***

20
Lattice="-3.022 7.079 0.375 -1.382 -3.018 -6.955 -3.203 -4.451 5.415" Properties=species:S:1:pos:R:3 comment="HoZn12Cu7 PBE-GGA optimized geometry" dft_energy_ev_per_atom=-2.23 ef_ev_per_atom=0.193 volume_a3_per_atom=17.617 magmom_total_mub_per_fu=0.0 spacegroup=Im-3 pbc="T T T"
Zn -3.225 -3.677 1.727
Zn -3.038 2.047 -0.882
Zn -4.384 3.288 -2.892
Zn -5.175 -0.094 3.406
Zn -3.273 -0.897 1.637
Zn -2.433 -0.296 -4.571
Zn -4.570 -2.437 -0.283
Zn -3.548 3.502 1.434
Zn -4.061 -3.891 -2.600
Zn -2.660 -1.610 -2.129
Zn -4.948 1.220 0.964
Zn -4.335 0.507 -2.803
Cu -3.804 -0.195 -0.583
Cu -2.293 -3.735 -0.770
Cu -1.602 -2.225 2.707
Cu -0.691 -1.509 -3.477
Cu -1.511 3.540 0.187
Cu -3.113 1.314 2.895
Cu -2.202 2.030 -3.290
Ho 0.000 0.000 0.000

***

20
Lattice="4.255 0.000 -0.725 0.000 6.659 0.000 -0.145 0.000 12.004" Properties=species:S:1:pos:R:3 comment="Ho2Zn5Cu3 PBE-GGA optimized geometry" dft_energy_ev_per_atom=-3.03 ef_ev_per_atom=-0.251 volume_a3_per_atom=16.973 magmom_total_mub_per_fu=0.0 spacegroup=Cmc2_1 pbc="T T T"
Cu 0.917 1.274 5.386
Cu 3.193 4.604 5.894
Cu 0.211 6.470 1.236
Cu 1.560 0.325 9.156
Cu 3.900 3.141 10.044
Cu 2.551 3.654 2.124
Zn 0.499 1.738 2.929
Zn 2.930 2.589 4.349
Zn 3.904 0.486 10.066
Zn 0.207 3.816 1.213
Zn 1.141 3.365 6.696
Zn 2.970 0.035 4.584
Zn 1.563 2.930 9.175
Zn 3.612 5.067 8.351
Zn 1.181 5.919 6.930
Zn 2.548 6.260 2.104
Ho 1.914 5.112 11.235
Ho 3.417 1.446 7.204
Ho 2.197 1.783 0.044
Ho 0.694 4.776 4.075

***

4
Lattice="-4.051 2.160 -1.468 -4.164 -0.899 2.255 -2.043 3.403 2.734" Properties=species:S:1:pos:R:3 comment="HoZrZnCu PBE-GGA optimized geometry" dft_energy_ev_per_atom=-4.80 ef_ev_per_atom=-0.173 volume_a3_per_atom=19.791 magmom_total_mub_per_fu=1.0 spacegroup=F-43m pbc="T T T"
Cu -5.129 2.332 1.760
Zn 0.000 0.000 0.000
Ho -7.693 3.498 2.640
Zr -2.564 1.166 0.880